Arrangement 1

A plane-wave DFT calculation with GGA-PBE was carried out for a relaxed Zn3PbN crystal.

```
data_Zn3PbN
_chemical_formula_sum 'Zn3 Pb1 N1'
_symmetry_space_group_name_H-M 'P 1'
_symmetry_Int_Tables_number 1
_symmetry_space_group_name_Hall 'P 1'
_cell_length_a 4.370
_cell_length_b 4.370
_cell_length_c 4.370
_cell_angle_alpha 90.00
_cell_angle_beta 90.00
_cell_angle_gamma 90.00
loop_
_atom_site_label
_atom_site_fract_x
_atom_site_fract_y
_atom_site_fract_z
_atom_site_occupancy
Zn1 0.000 0.000 0.500 1
Zn2 0.000 0.500 0.000 1
Zn3 0.500 0.000 0.000 1
Pb1 0.500 0.500 0.500 1
N1 0.000 0.000 0.000 1
```

Properties
V ... 16.70 Å³ per atom
Space group ... No. 221

=====

Arrangement 2

A plane-wave DFT calculation with GGA-PBE was carried out for a relaxed Zn3PbN crystal.

```
data_Zn3PbN
_chemical_formula_sum 'Zn3 Pb1 N1'
_symmetry_space_group_name_H-M 'P 1'
_symmetry_Int_Tables_number 1
_symmetry_space_group_name_Hall 'P 1'
_cell_length_a 5.568
_cell_length_b 5.568
_cell_length_c 5.568
_cell_angle_alpha 90.00
_cell_angle_beta 90.00
_cell_angle_gamma 90.00
loop_
_atom_site_label
_atom_site_fract_x
_atom_site_fract_y
_atom_site_fract_z
_atom_site_occupancy
Zn1 0.000 0.000 0.500 1
Zn2 0.000 0.500 0.000 1
Zn3 0.500 0.000 0.000 1
Pb1 0.000 0.000 0.000 1
N1 0.500 0.500 0.500 1
```

Properties
V ... 34.53 Å³ per atom
Space group ... No. 221

=====

Stability ranking, top and bottom: arrangement 1 is the most stable and arrangement 2 is the least stable.

=====

Arrangement 1

A plane-wave DFT calculation with GGA-PBE was carried out for a relaxed Zr2Pb2N crystal.

```
data_Zr2Pb2N
_chemical_formula_sum 'Zr2 Pb2 N1'
_symmetry_space_group_name_H-M 'P 1'
_symmetry_Int_Tables_number 1
_symmetry_space_group_name_Hall 'P 1'
_cell_length_a 8.643
_cell_length_b 8.643
_cell_length_c 8.643
_cell_angle_alpha 153.95
_cell_angle_beta 153.95
_cell_angle_gamma 37.18
loop_
_atom_site_label
_atom_site_fract_x
_atom_site_fract_y
_atom_site_fract_z
_atom_site_occupancy
Zr1 0.250 0.750 0.500 1
Zr2 0.750 0.250 0.500 1
Pb1 0.088 0.088 0.000 1
Pb2 0.912 0.912 0.000 1
N1 0.500 0.500 0.000 1
```

Properties
V ... 24.87 Å³ per atom
Space group ... No. 139

=====

Arrangement 2

A plane-wave DFT calculation with GGA-PBE was carried out for a relaxed Zr2Pb2N crystal.

```
data_Zr2Pb2N
_chemical_formula_sum 'Zr4 Pb4 N2'
_symmetry_space_group_name_H-M 'P 1'
_symmetry_Int_Tables_number 1
_symmetry_space_group_name_Hall 'P 1'
_cell_length_a 6.720
_cell_length_b 6.720
_cell_length_c 4.879
_cell_angle_alpha 90.00
_cell_angle_beta 90.00
_cell_angle_gamma 90.00
loop_
_atom_site_label
_atom_site_fract_x
_atom_site_fract_y
_atom_site_fract_z
_atom_site_occupancy
Zr1 0.158 0.342 0.000 1
Zr2 0.342 0.842 0.000 1
Zr3 0.658 0.158 0.000 1
Zr4 0.842 0.658 0.000 1
Pb1 0.163 0.663 0.500 1
Pb2 0.337 0.163 0.500 1
Pb3 0.663 0.837 0.500 1
Pb4 0.837 0.337 0.500 1
N1 0.000 0.000 0.500 1
N2 0.500 0.500 0.500 1
```

Properties
V ... 22.03 Å³ per atom
Space group ... No. 127

=====

Stability ranking, top and bottom: arrangement 2 is the most stable and arrangement 1 is the least stable.

=====

Arrangement 1

A plane-wave DFT calculation with GGA-PBE was carried out for a relaxed ZrPb3N crystal.

```
data_ZrPb3N
_chemical_formula_sum 'Zr1 Pb3 N1'
_symmetry_space_group_name_H-M 'P 1'
_symmetry_Int_Tables_number 1
_symmetry_space_group_name_Hall 'P 1'
_cell_length_a 4.914
_cell_length_b 4.914
_cell_length_c 4.914
_cell_angle_alpha 90.00
_cell_angle_beta 90.00
_cell_angle_gamma 90.00
loop_
_atom_site_label
_atom_site_fract_x
_atom_site_fract_y
_atom_site_fract_z
_atom_site_occupancy
Zr1 0.000 0.000 0.000 1
Pb1 0.000 0.500 0.500 1
Pb2 0.500 0.000 0.500 1
Pb3 0.500 0.500 0.000 1
N1 0.500 0.500 0.500 1
```

Properties
V ... 23.73 Å³ per atom
Space group ... No. 221

=====

Arrangement 2

A plane-wave DFT calculation with GGA-PBE was carried out for a relaxed ZrPb3N crystal.

```
data_ZrPb3N
_chemical_formula_sum 'Zr1 Pb3 N1'
_symmetry_space_group_name_H-M 'P 1'
_symmetry_Int_Tables_number 1
_symmetry_space_group_name_Hall 'P 1'
_cell_length_a 5.714
_cell_length_b 5.714
_cell_length_c 5.714
_cell_angle_alpha 90.00
_cell_angle_beta 90.00
_cell_angle_gamma 90.00
loop_
_atom_site_label
_atom_site_fract_x
_atom_site_fract_y
_atom_site_fract_z
_atom_site_occupancy
Zr1 0.000 0.000 0.000 1
Pb1 0.000 0.000 0.500 1
Pb2 0.000 0.500 0.000 1
Pb3 0.500 0.000 0.000 1
N1 0.500 0.500 0.500 1
```

Properties
V ... 37.32 Å³ per atom
Space group ... No. 221

=====

Stability ranking, top and bottom: arrangement 1 is the most stable and arrangement 2 is the least stable.